# 1
A relaxed structure of HfTe2SN. Source: Alexandria, functional PBE.

## Properties
N(E_F) = 1.30 states/eV per atom
Total magnetic moment = 0.0 μB per formula unit
Offset from the most stable computed form = 0.000 eV/atom
Raw formation energy = 0.351 eV per atom
E = -5.387 eV/atom

a = 5.6368 Å, b = 5.6368 Å, c = 3.9878 Å
α = 90.00°, β = 90.00°, γ = 90.00°
Last column: nearest neighbours and their distance in Å.
Space group P4/mmm (No. 123)
Symmetry-distinct sites (fractional):
Hf  0.0000  0.0000  0.0000  2 N 1.99
Te  0.0000  0.5000  0.0000  2 Hf 2.82
S  0.5000  0.5000  0.5000  8 Te 3.45
N  0.0000  0.0000  0.5000  2 Hf 1.99


# 2
A relaxed structure of BaTcOs3. Source: Alexandria, functional PBE.

## Properties
Energy relative to the elements = 1.51 eV per atom
N(E_F) = 1.12 states/eV per atom
Total magnetic moment = 0.0 μB per formula unit
Offset from the most stable computed form = 0.000 eV/atom
E = -7.682 eV/atom

a = 4.8151 Å, b = 4.8151 Å, c = 4.8151 Å
α = 90.00°, β = 90.00°, γ = 90.00°
Last column: nearest neighbours and their distance in Å.
Space group Pm-3m (No. 221)
Symmetry-distinct sites (fractional):
Ba  0.0000  0.0000  0.0000  12 Os 3.40
Tc  0.5000  0.5000  0.5000  6 Os 2.41
Os  0.0000  0.5000  0.5000  2 Tc 2.41


# 3
A relaxed structure of TiTlB3. Source: Alexandria, functional PBE.

## Properties
Energy relative to the elements = 1.52 eV per atom
N(E_F) = 0.86 states/eV per atom
Total magnetic moment = 0.0 μB per formula unit
Offset from the most stable computed form = 0.000 eV/atom
E = -4.535 eV/atom

a = 4.3398 Å, b = 4.3398 Å, c = 4.3398 Å
α = 90.00°, β = 90.00°, γ = 90.00°
Last column: nearest neighbours and their distance in Å.
Space group Pm-3m (No. 221)
Symmetry-distinct sites (fractional):
Ti  0.0000  0.0000  0.0000  6 B 2.17
Tl  0.5000  0.5000  0.5000  12 B 3.07
B  0.0000  0.0000  0.5000  2 Ti 2.17


# 4
A relaxed structure of RbLaCu2. Source: Alexandria, functional PBE.

## Properties
Energy relative to the elements = 0.55 eV per atom
N(E_F) = 1.13 states/eV per atom
Total magnetic moment = 0.0 μB per formula unit
Offset from the most stable computed form = 0.155 eV/atom
E = -2.974 eV/atom

a = 8.2757 Å, b = 8.2757 Å, c = 7.5853 Å
α = 90.00°, β = 90.00°, γ = 90.00°
Last column: nearest neighbours and their distance in Å.
Space group I-42d (No. 122)
Symmetry-distinct sites (fractional):
Rb  0.0000  0.0000  0.0000  4 Cu 3.30
La  0.0000  0.0000  0.5000  4 Cu 2.87
Cu  0.2107  0.7500  0.6250  2 La 2.87


# 5
A relaxed structure of TaTcBiAu2. Source: Alexandria, functional PBE.

## Properties
Energy relative to the elements = 1.62 eV per atom
N(E_F) = 1.32 states/eV per atom
Total magnetic moment = 1.0 μB per formula unit
E = -4.916 eV/atom

a = 4.9922 Å, b = 4.9922 Å, c = 5.0568 Å
α = 90.00°, β = 90.00°, γ = 90.00°
Last column: nearest neighbours and their distance in Å.
Space group P4/mmm (No. 123)
Symmetry-distinct sites (fractional):
Ta  0.0000  0.0000  0.0000  4 Bi 3.53, 8 Au 3.55
Tc  0.5000  0.5000  0.5000  4 Au 2.50, 2 Bi 2.53
Bi  0.5000  0.5000  0.0000  2 Tc 2.53
Au  0.0000  0.5000  0.5000  2 Tc 2.50


# 6
A relaxed structure of Pu2CoGe2. Source: Alexandria, functional PBE.

## Properties
Energy relative to the elements = -0.26 eV per atom
N(E_F) = 3.20 states/eV per atom
Total magnetic moment = 9.5 μB per formula unit
Offset from the most stable computed form = 0.134 eV/atom
E = -9.264 eV/atom

a = 4.1993 Å, b = 15.7299 Å, c = 6.0121 Å
α = 90.00°, β = 90.00°, γ = 90.00°
Last column: nearest neighbours and their distance in Å.
Space group Cmc2_1 (No. 36)
Symmetry-distinct sites (fractional):
Pu  0.0000  0.0238  0.0000  4 Co 2.85-3.04, 6 Ge 2.98-3.02, 3 Pu 3.10-3.14
Pu  0.0000  0.2164  0.1402  6 Ge 2.87-3.21, 1 Co 3.14, 1 Pu 3.14
Co  0.0000  0.4132  0.2250  3 Ge 2.43-2.47
Ge  0.0000  0.1591  0.6533  2 Co 2.43
Ge  0.0000  0.4089  0.8137  1 Co 2.47


# 7
A relaxed structure of PuZnSiAu. Source: Alexandria, functional PBE.

## Properties
N(E_F) = 2.11 states/eV per atom
Total magnetic moment = 5.5 μB per formula unit
Raw formation energy = -0.177 eV per atom
E = -6.253 eV/atom

a = 6.6944 Å, b = 6.6944 Å, c = 6.6944 Å
α = 90.00°, β = 90.00°, γ = 90.00°
Last column: nearest neighbours and their distance in Å.
Space group F-43m (No. 216)
Symmetry-distinct sites (fractional):
Pu  0.0000  0.0000  0.0000  4 Si 2.90, 4 Zn 2.90
Zn  0.2500  0.2500  0.2500  4 Pu 2.90, 4 Au 2.90
Si  0.2500  0.2500  0.7500  4 Pu 2.90, 4 Au 2.90
Au  0.0000  0.0000  0.5000  4 Si 2.90, 4 Zn 2.90


# 8
A relaxed structure of NaTl2SnPb. Source: Alexandria, functional PBE.

## Properties
Energy relative to the elements = -0.01 eV per atom
N(E_F) = 0.34 states/eV per atom
Total magnetic moment = 0.0 μB per formula unit
E = -2.764 eV/atom

a = 3.6262 Å, b = 16.0248 Å, c = 10.7371 Å
α = 90.00°, β = 90.00°, γ = 90.00°
Last column: nearest neighbours and their distance in Å.
Space group Cmcm (No. 63)
Symmetry-distinct sites (fractional):
Na  0.0000  0.1461  0.2500  2 Sn 3.50, 2 Pb 3.56, 6 Tl 3.58-3.78, 2 Na 3.63
Tl  0.0000  0.1914  0.5955  1 Pb 3.23, 3 Tl 3.32, 2 Sn 3.44, 2 Na 3.58
Sn  0.0000  0.4590  0.2500  4 Pb 3.31, 4 Tl 3.44, 2 Na 3.50, 2 Sn 3.63
Pb  0.0000  0.0000  0.0000  2 Tl 3.23, 4 Sn 3.31, 2 Na 3.56